[1]
DFT (GGA-PBE) results for a relaxed structure of Cu2SiOs.

Properties
Formation energy without anion corrections   36 kJ/mol of formula units
Magnetic moment   0.0 Bohr magnetons per cell
VASP energy   -6.119 eV per atom

a b c (Å): 4.1781 5.2367 2.7246
angles (deg): 75.28 89.12 113.26
Positions (direct):
Cu 0.0000 0.0000 0.0000
Cu 0.5000 0.0000 0.5000
Os 0.0000 0.5000 0.5000
Si 0.5000 0.5000 0.0000


[2]
DFT (GGA-PBE) results for a relaxed structure of Y7CoSe5.

Properties
Formation energy without anion corrections   -1740 kJ/mol of formula units
Magnetic moment   0.0 Bohr magnetons per cell
VASP energy   -6.755 eV per atom

a b c (Å): 3.9376 7.0160 24.3956
angles (deg): 90.00 90.00 106.30
Positions (direct):
Y 0.4491 0.8983 0.2492
Y 0.5514 0.1029 0.7492
Y 0.6465 0.2929 0.0395
Y 0.3681 0.7363 0.9642
Y 0.3541 0.7082 0.5395
Y 0.6324 0.2648 0.4642
Y 0.2116 0.4232 0.1820
Y 0.8022 0.6044 0.8171
Y 0.7890 0.5779 0.6820
Y 0.1984 0.3968 0.3171
Y 0.9231 0.8461 0.1119
Y 0.1022 0.2044 0.8737
Y 0.0774 0.1549 0.6118
Y 0.8984 0.7969 0.3737
Co 0.8089 0.6178 0.2605
Co 0.1917 0.3833 0.7605
Se 0.0103 0.0207 0.9979
Se 0.7271 0.4542 0.9287
Se 0.2871 0.5741 0.0724
Se 0.5510 0.1020 0.3567
Se 0.4367 0.8734 0.6463
Se 0.9902 0.9804 0.4979
Se 0.2735 0.5470 0.4288
Se 0.7135 0.4270 0.5724
Se 0.4496 0.8992 0.8567
Se 0.5639 0.1277 0.1463


[3]
DFT (GGA-PBE) results for a relaxed structure of TmAlFe.

Properties
Magnetic moment   0.0 Bohr magnetons per cell
VASP energy   -5.726 eV per atom
Formation enthalpy at 0 K   -167 meV per atom

a b c (Å): 3.1604 3.1604 5.6318
angles (deg): 106.30 106.30 90.00
Positions (direct):
Tm 0.0156 0.0156 0.0312
Fe 0.6873 0.6873 0.3745
Al 0.2972 0.2972 0.5943


[4]
DFT (GGA-PBE) results for a relaxed structure of RbCdIn2Pt.

Properties
Magnetic moment   0.0 Bohr magnetons per cell
VASP energy   -2.917 eV per atom
Formation enthalpy at 0 K   -237 meV per atom

a b c (Å): 5.2815 5.2815 5.4281
angles (deg): 90.00 90.00 90.00
Positions (direct):
Cd 0.0000 0.0000 0.5000
Rb 0.5000 0.5000 0.5000
Pt 0.0000 0.0000 0.0000
In 0.0000 0.5000 0.0000
In 0.5000 0.0000 0.0000


| no. | Fermi-level density of states (states/eV/f.u.) |
| --- | --- |
| 1 | 2.22 |
| 2 | 6.07 |
| 3 | 1.74 |
| 4 | 2.55 |